MnFeN3 | PBEsol | optimized geometry

Unit cell a=3.616 b=3.616 c=3.616 alpha=90.00 beta=90.00 gamma=90.00
Space group Pm-3m (No. 221)
Unique sites:
1 Mn 0.000 0.000 0.000
2 Fe 0.500 0.500 0.500
3 N 0.000 0.000 0.500

Calculated values
As for the energy: -7.892 eV/atom. For the energy relative to the elements, uncorrected, the calculation gives 4.85 eV/f.u. For the density of states at the Fermi level, the calculation gives 5.83 states/eV/f.u.